[1]
## PaMnIr2 (PBE-GGA)

Data for an optimized crystal structure of PaMnIr2.

Values from the calculation:
ΔH_f (0 K) = -0.38 eV per atom
total moment = 3.902 Bohr magnetons per cell
energy above the most stable polymorph in this dataset = 184 meV/atom
electronic total energy = -9.48 eV/atom

Cell: 3.0505 3.0505 7.2903 Å, 90.00 90.00 90.00°
Space group P4/mmm (No. 123)
Asymmetric unit:
Pa1 0.0000 0.0000 0.0000
Mn1 0.0000 0.0000 0.5000
Ir1 0.5000 0.5000 0.2845

=====

[2]
## Mg2SiAu (PBE-GGA)

Data for an optimized crystal structure of Mg2SiAu.

Values from the calculation:
total moment = 0.000 Bohr magnetons per cell
electronic total energy = -2.94 eV/atom
formation energy without anion corrections = 0.034 eV per atom

Cell: 7.4308 7.4308 5.8102 Å, 90.00 90.00 90.00°
Space group I-42d (No. 122)
Asymmetric unit:
Mg1 0.2483 0.2500 0.1250
Si1 0.0000 0.0000 0.0000
Au1 0.0000 0.0000 0.5000

=====

[3]
## PtCN3 (PBE-GGA)

Data for an optimized crystal structure of PtCN3.

Values from the calculation:
total moment = 0.001 Bohr magnetons per cell
electronic total energy = -4.80 eV/atom
formation energy without anion corrections = 3.248 eV per atom

Cell: 3.8535 3.8535 3.8535 Å, 90.00 90.00 90.00°
Space group Pm-3m (No. 221)
Asymmetric unit:
Pt1 0.0000 0.0000 0.0000
C1 0.5000 0.5000 0.5000
N1 0.0000 0.0000 0.5000